(1)
Below is a geometry-optimized Be2PIr structure, with properties calculated at the GGA-PBE level.

Cell lengths 2.6889, 2.6889, 7.7676 Å; angles 90.00, 90.00, 119.70 degrees
Last column: nearest neighbours and their distance in Å.
Positions (direct):
P1 0.5000 0.5000 0.7628  2 Be 2.37, 2 Ir 2.57
Be1 0.5000 0.5000 0.2424  2 Be 2.23, 2 Ir 2.29
Be2 0.0000 0.0000 0.0136  2 Be 2.23, 2 P 2.37
Ir1 0.0000 0.0000 0.4812  2 Be 2.29

The formation energy is 1.29 eV per formula unit.

---

(2)
Below is a geometry-optimized AsPSe2Cl structure, with properties calculated at the GGA-PBE level.

Cell lengths 4.8068, 4.8068, 4.9624 Å; angles 90.00, 90.00, 90.00 degrees
Last column: nearest neighbours and their distance in Å.
Positions (direct):
As1 0.0000 0.0000 0.5000  2 P 2.48
Cl1 0.5000 0.5000 0.5000  4 As 3.40, 8 Se 3.45
Se1 0.5000 0.0000 0.0000  2 P 2.40
Se2 0.0000 0.5000 0.0000  2 P 2.40
P1 0.0000 0.0000 0.0000  4 Se 2.40, 2 As 2.48

For the energy relative to the elements, uncorrected, the calculation gives 581.2 meV/atom. The calculation puts the energy above the lowest structure with this stoichiometry at 0.0 meV/atom.

---

(3)
Below is a geometry-optimized TlV12S16 structure, with properties calculated at the GGA-PBE level.

Cell lengths 6.4825, 9.1581, 9.7054 Å; angles 118.13, 109.51, 90.00 degrees
Last column: nearest neighbours and their distance in Å.
Positions (direct):
V1 0.8112 0.4859 0.3676  6 S 2.32-2.51
V2 0.1160 0.1174 0.4911  6 S 2.32-2.55
V3 0.6843 0.5090 0.6263  6 S 2.32-2.55
V4 0.1853 0.6308 0.1180  6 S 2.31-2.53
V5 0.8168 0.3742 0.8824  6 S 2.33-2.55
V6 0.6278 0.1171 0.4915  6 S 2.32-2.56
V7 0.1939 0.5086 0.6256  6 S 2.32-2.56
V8 0.6854 0.6290 0.1181  6 S 2.33-2.52
V9 0.3117 0.4898 0.3728  6 S 2.33-2.54
V10 0.3180 0.3740 0.8827  6 S 2.33-2.55
V11 0.3840 0.8813 0.5137  6 S 2.31-2.50
V12 0.8806 0.8832 0.5104  6 S 2.33-2.55
S1 0.8489 0.6550 0.9478  4 V 2.33-2.55
S2 0.6522 0.3482 0.0519  4 V 2.33-2.51
S3 0.2296 0.0523 0.7068  4 V 2.33-2.55
S4 0.5430 0.6663 0.3334  6 V 2.44-2.45
S5 0.2766 0.9484 0.3010  4 V 2.31-2.53
S6 0.5496 0.2931 0.3453  4 V 2.33-2.56
S7 0.9599 0.3354 0.6674  6 V 2.42-2.45
S8 0.7305 0.0526 0.7078  4 V 2.33-2.55
S9 0.0431 0.6671 0.3337  6 V 2.44
S10 0.7730 0.9467 0.2938  4 V 2.32-2.52
S11 0.9494 0.6996 0.6473  4 V 2.32-2.55
S12 0.4528 0.7059 0.6533  4 V 2.32-2.50
S13 0.0484 0.2921 0.3446  4 V 2.33-2.55
S14 0.1521 0.3520 0.0531  4 V 2.31-2.54
S15 0.3520 0.6546 0.9476  4 V 2.33-2.56
S16 0.4588 0.3312 0.6655  6 V 2.43-2.45
Tl1 0.1505 0.9994 0.9996  6 S 3.02-3.30

For the energy relative to the elements, uncorrected, the calculation gives -986.1 meV/atom. The calculation puts the energy above the lowest structure with this stoichiometry at 0.0 meV/atom.

---

(4)
Below is a geometry-optimized TaZnCu structure, with properties calculated at the GGA-PBE level.

Cell lengths 4.2685, 4.2685, 2.8058 Å; angles 90.00, 90.00, 120.00 degrees
Last column: nearest neighbours and their distance in Å.
Positions (direct):
Zn1 0.6667 0.3333 0.8329  3 Cu 2.46
Cu1 0.0000 0.0000 0.8336  3 Zn 2.46
Ta1 0.3333 0.6667 0.3334  2 Ta 2.81, 6 Zn 2.84, 6 Cu 2.84

The formation energy is 0.26 eV per formula unit.

---

no.,calculated volume (Å³ per atom)
1,12.2
2,22.9
3,16.2
4,14.8